No. 1
This record from OQMD via LeMat-Bulk describes a relaxed Co5Ni crystal. The functional is PBE.

space-group type	P6_3/mmc
total energy	-159.84	eV per cell
E_form	0.19	eV per atom
energy above the most stable polymorph in this dataset	1	meV per atom
volume	11.33	A^3/atom

The structure in POSCAR format:
```
Co5Ni
1.0
-3.0494 -1.4304 -3.1272
2.8853 -3.0065 1.9390
-9.8937 -2.5272 10.8037
Co Ni
20 4
Direct
0.5000 0.0000 0.0000
0.0000 0.5000 0.0000
0.5000 0.5000 0.0000
0.3333 0.6667 0.1278
0.6667 0.3333 0.1560
0.1604 0.3208 0.2500
0.1604 0.8396 0.2500
0.6792 0.8396 0.2500
0.6667 0.3333 0.3440
0.3333 0.6667 0.3722
0.5000 0.0000 0.5000
0.0000 0.5000 0.5000
0.5000 0.5000 0.5000
0.6667 0.3333 0.6278
0.3333 0.6667 0.6560
0.3208 0.1604 0.7500
0.8396 0.1604 0.7500
0.8396 0.6792 0.7500
0.3333 0.6667 0.8440
0.6667 0.3333 0.8722
0.0000 0.0000 0.0904
0.0000 0.0000 0.4096
0.0000 0.0000 0.5904
0.0000 0.0000 0.9096
```

=====

No. 2
This record from OQMD via LeMat-Bulk describes a relaxed Co5Ni crystal. The functional is PBE.

space-group type	P6_3/mmc
total energy	-159.41	eV per cell
E_form	0.21	eV per atom
energy above the most stable polymorph in this dataset	19	meV per atom
volume	11.31	A^3/atom

The structure in POSCAR format:
```
Co5Ni
1.0
-4.4095 1.1966 0.1533
1.6440 -2.2072 -3.6504
-3.3404 -13.1345 6.4372
Co Ni
20 4
Direct
0.5000 0.0000 0.0000
0.0000 0.5000 0.0000
0.5000 0.5000 0.0000
0.0000 0.0000 0.0893
0.6667 0.3333 0.1562
0.1611 0.3223 0.2500
0.1611 0.8389 0.2500
0.6777 0.8389 0.2500
0.6667 0.3333 0.3438
0.0000 0.0000 0.4107
0.5000 0.0000 0.5000
0.0000 0.5000 0.5000
0.5000 0.5000 0.5000
0.0000 0.0000 0.5893
0.3333 0.6667 0.6562
0.3223 0.1611 0.7500
0.8389 0.1611 0.7500
0.8389 0.6777 0.7500
0.3333 0.6667 0.8438
0.0000 0.0000 0.9107
0.3333 0.6667 0.1267
0.3333 0.6667 0.3733
0.6667 0.3333 0.6267
0.6667 0.3333 0.8733
```

=====

No. 3
This record from OQMD via LeMat-Bulk describes a relaxed Co8Ni5 crystal. The functional is PBE.

space-group type	R-3m
total energy	-83.06	eV per cell
E_form	0.13	eV per atom
energy above the most stable polymorph in this dataset	0	meV per atom
volume	11.18	A^3/atom

The structure in POSCAR format:
```
Co8Ni5
1.0
2.2803 1.3165 8.0701
-2.2803 1.3165 8.0701
0.0000 -2.6331 8.0701
Co Ni
8 5
Direct
0.5834 0.0894 0.0894
0.0894 0.5834 0.0894
0.9106 0.9106 0.4166
0.4531 0.4531 0.4531
0.5469 0.5469 0.5469
0.0894 0.0894 0.5834
0.9106 0.4166 0.9106
0.4166 0.9106 0.9106
0.0000 0.0000 0.0000
0.1653 0.1653 0.1653
0.3484 0.3484 0.3484
0.6516 0.6516 0.6516
0.8347 0.8347 0.8347
```

=====

Which value of energy above the most stable polymorph in this dataset does entry 1 give?
1 meV per atom